Run w
Below is an optimized crystal structure of AcZrPb, with properties calculated at the PBE level.

Properties
Crystal system   tetragonal
Size of the total moment   4.13 Bohr magnetons per cell
Space group   No. 139

Cell: 4.5869 4.5869 18.1697 Å, 90.00 90.00 90.00°
Positions (direct):
Ac 0.0000 0.0000 0.1761
Ac 0.0000 0.0000 0.8239
Ac 0.5000 0.5000 0.3239
Ac 0.5000 0.5000 0.6761
Zr 0.0000 0.5000 0.0000
Zr 0.0000 0.5000 0.5000
Zr 0.5000 0.0000 0.0000
Zr 0.5000 0.0000 0.5000
Pb 0.0000 0.0000 0.3818
Pb 0.0000 0.0000 0.6182
Pb 0.5000 0.5000 0.1182
Pb 0.5000 0.5000 0.8818


Run x
Below is an optimized crystal structure of AcZrPb, with properties calculated at the PBE level.

Properties
Crystal system   orthorhombic
Size of the total moment   0.00 Bohr magnetons per cell
Space group   No. 59

Cell: 3.9012 3.9235 12.2748 Å, 90.00 90.00 90.00°
Positions (direct):
Ac 0.2500 0.2500 0.1271
Ac 0.7500 0.7500 0.8729
Zr 0.2500 0.2500 0.4327
Zr 0.7500 0.7500 0.5673
Pb 0.2500 0.2500 0.6851
Pb 0.7500 0.7500 0.3149


In terms of stability, run w leads; the second structure lies 84 meV per atom higher.